# 1
Compound: SiHO
Source: Alexandria via LeMat-Bulk
Functional: GGA-PBE
Structure: optimized geometry

```
12
Lattice="5.398 -0.596 0.303 -2.462 6.388 0.268 1.372 3.011 4.317" Properties=species:S:1:pos:R:3 pbc="T T T"
Si -0.780 6.920 3.007
Si 2.845 2.058 1.125
O 0.617 6.022 2.714
H 0.616 8.070 4.498
O 3.301 5.744 2.444
Si 4.324 2.319 3.712
H 1.698 3.768 2.375
O 4.513 3.779 4.399
H 3.075 7.893 4.289
O 4.184 2.426 2.072
H 0.697 1.943 0.197
Si 1.907 5.090 3.037
```

M_tot = 0.00 μB per cell
Total energy = -68.3 eV/cell

# 2
Compound: SiH2O
Source: Alexandria via LeMat-Bulk
Functional: GGA-PBE
Structure: optimized geometry

```
4
Lattice="0.000 2.428 2.428 2.428 0.000 2.428 2.428 2.428 0.000" Properties=species:S:1:pos:R:3 pbc="T T T"
H 3.643 3.643 3.643
H 1.214 1.214 1.214
Si 2.428 2.428 2.428
O 0.000 0.000 0.000
```

M_tot = 0.00 μB per cell
Total energy = -13.9 eV/cell

# 3
Compound: SiH2O
Source: Alexandria via LeMat-Bulk
Functional: GGA-PBE
Structure: optimized geometry

```
4
Lattice="2.898 -0.218 -0.449 -2.306 3.063 0.000 -2.012 -1.515 5.861" Properties=species:S:1:pos:R:3 pbc="T T T"
O -0.467 2.048 2.215
H 0.517 0.389 0.825
Si -1.794 1.049 2.556
H -1.927 0.949 4.024
```

M_tot = 0.00 μB per cell
Total energy = -20.0 eV/cell